Entry 1:
Entry from Alexandria: an optimized crystal structure of OsSe4 (PBE-GGA).

## Properties
The calculation puts the total energy at -4.352 eV/atom. The density of states at the Fermi level comes out at 0.804 states/eV/atom. For the uncorrected formation energy, the calculation gives 0.682 eV/atom.

Unit cell a=5.2496 b=5.2496 c=5.2496 alpha=109.47 beta=109.47 gamma=109.47
With the nearest neighbours (Å) after each atom.
Element x y z (fractional)
Se 0.0000 0.0000 0.5000  2 Os 2.62
Os 0.0000 0.0000 0.0000  8 Se 2.62
Se 0.5000 0.0000 0.0000  2 Os 2.62
Se 0.5000 0.5000 0.5000  2 Os 2.62
Se 0.0000 0.5000 0.0000  2 Os 2.62

***

Entry 2:
Entry from Alexandria: an optimized crystal structure of Cr2CdTc (PBE-GGA).

## Properties
The calculation puts the total energy at -7.129 eV/atom. Its formation energy is 503 meV per atom. The density of states at the Fermi level comes out at 0.521 states/eV/atom.

Unit cell a=4.4208 b=4.4208 c=4.4208 alpha=60.00 beta=60.00 gamma=60.00
With the nearest neighbours (Å) after each atom.
Element x y z (fractional)
Cr 0.0000 0.0000 0.0000  4 Tc 2.71, 4 Cr 2.71
Tc 0.7500 0.7500 0.7500  4 Cr 2.71, 4 Cd 2.71
Cd 0.5000 0.5000 0.5000  4 Cr 2.71, 4 Tc 2.71
Cr 0.2500 0.2500 0.2500  4 Cd 2.71, 4 Cr 2.71

***

Entry 3:
Entry from Alexandria: an optimized crystal structure of CeHfZr14 (PBE-GGA).

## Properties
The calculation puts the total energy at -8.419 eV/atom. Its formation energy is 54 meV per atom. The density of states at the Fermi level comes out at 1.387 states/eV/atom.

Unit cell a=6.4477 b=6.4477 c=9.0192 alpha=90.00 beta=90.00 gamma=89.97
With the nearest neighbours (Å) after each atom.
Element x y z (fractional)
Zr 0.1279 0.3778 0.7502  10 Zr 3.19-3.26, 1 Hf 3.19, 1 Ce 3.22
Zr 0.6219 0.3781 0.7503  1 Hf 3.18, 10 Zr 3.19-3.26, 1 Ce 3.22
Zr 0.3743 0.1246 0.0000  8 Zr 3.20-3.21, 2 Ce 3.22-3.23, 2 Hf 3.22
Zr 0.1279 0.3778 0.2498  10 Zr 3.19-3.26, 1 Hf 3.19, 1 Ce 3.22
Ce 0.8745 0.1255 0.0000  12 Zr 3.22-3.23
Zr 0.8750 0.6250 0.5000  12 Zr 3.21-3.22
Zr 0.3750 0.1250 0.5000  12 Zr 3.21-3.22
Hf 0.3753 0.6247 0.0000  12 Zr 3.18-3.22
Zr 0.1282 0.8718 0.7500  10 Zr 3.19-3.26, 1 Hf 3.19, 1 Ce 3.23
Zr 0.1282 0.8718 0.2500  10 Zr 3.19-3.26, 1 Hf 3.19, 1 Ce 3.23
Zr 0.6222 0.8721 0.2498  10 Zr 3.19-3.26, 1 Hf 3.19, 1 Ce 3.22
Zr 0.6219 0.3781 0.2497  1 Hf 3.18, 10 Zr 3.19-3.26, 1 Ce 3.22
Zr 0.3752 0.6248 0.5000  12 Zr 3.19-3.22
Zr 0.8749 0.1251 0.5000  12 Zr 3.22-3.23
Zr 0.6222 0.8721 0.7502  10 Zr 3.19-3.26, 1 Hf 3.19, 1 Ce 3.22
Zr 0.8754 0.6257 0.0000  8 Zr 3.20-3.21, 2 Ce 3.22-3.23, 2 Hf 3.22

***

Entry 4:
Entry from Alexandria: an optimized crystal structure of Ti2VNi (PBE-GGA).

## Properties
The calculation puts the total energy at -7.872 eV/atom. Its formation energy is -199 meV per atom. The density of states at the Fermi level comes out at 1.120 states/eV/atom.

Unit cell a=3.0353 b=3.0353 c=6.2124 alpha=90.00 beta=90.00 gamma=90.00
With the nearest neighbours (Å) after each atom.
Element x y z (fractional)
V 0.5000 0.5000 0.5000  8 Ti 2.66
Ni 0.5000 0.5000 0.0000  8 Ti 2.64
Ti 0.0000 0.0000 0.7520  4 Ni 2.64, 4 V 2.66
Ti 0.0000 0.0000 0.2480  4 Ni 2.64, 4 V 2.66

***

Entry 5:
Entry from Alexandria: an optimized crystal structure of Pu2As4PdPt3 (PBE-GGA).

## Properties
The calculation puts the total energy at -7.715 eV/atom. Its formation energy is -657 meV per atom. The density of states at the Fermi level comes out at 2.867 states/eV/atom.

Unit cell a=4.4269 b=4.4269 c=9.9302 alpha=90.00 beta=90.00 gamma=90.00
With the nearest neighbours (Å) after each atom.
Element x y z (fractional)
As 0.5000 0.0000 0.6334  3 Pt 2.44-2.58, 2 Pd 2.58
As 0.0000 0.0000 0.0000  4 Pt 2.52
Pt 0.0000 0.5000 0.1211  5 As 2.44-2.52
Pd 0.5000 0.5000 0.5000  4 As 2.58
Pu 0.0000 0.5000 0.7520  8 As 3.31-3.34, 7 Pt 3.34-3.67, 2 Pd 3.34
Pu 0.5000 0.0000 0.2480  8 As 3.31-3.34, 2 Pd 3.34, 7 Pt 3.34-3.67
As 0.0000 0.5000 0.3666  3 Pt 2.44-2.58, 2 Pd 2.58
As 0.5000 0.5000 0.0000  4 Pt 2.52
Pt 0.5000 0.0000 0.8789  5 As 2.44-2.52
Pt 0.0000 0.0000 0.5000  4 As 2.58

***

Entry 6:
Entry from Alexandria: an optimized crystal structure of TaNbMoPt (PBE-GGA).

## Properties
The calculation puts the total energy at -9.959 eV/atom. Its formation energy is -261 meV per atom. The density of states at the Fermi level comes out at 1.039 states/eV/atom.

Unit cell a=4.5758 b=4.5758 c=4.5758 alpha=60.00 beta=60.00 gamma=60.00
With the nearest neighbours (Å) after each atom.
Element x y z (fractional)
Mo 0.2500 0.2500 0.2500  4 Nb 2.80, 4 Ta 2.80
Nb 0.0000 0.0000 0.0000  4 Pt 2.80, 4 Mo 2.80
Pt 0.7500 0.7500 0.7500  4 Ta 2.80, 4 Nb 2.80
Ta 0.5000 0.5000 0.5000  4 Mo 2.80, 4 Pt 2.80

***

Entry 7:
Entry from Alexandria: an optimized crystal structure of Ba2HgPt2 (PBE-GGA).

## Properties
The calculation puts the total energy at -3.685 eV/atom. Its formation energy is -440 meV per atom. The density of states at the Fermi level comes out at 1.196 states/eV/atom.

Unit cell a=3.9746 b=3.9746 c=10.0764 alpha=78.63 beta=78.63 gamma=90.00
With the nearest neighbours (Å) after each atom.
Element x y z (fractional)
Ba 0.3774 0.3774 0.2451  4 Pt 3.17
Hg 0.0000 0.0000 0.0000  8 Ba 3.68, 4 Hg 3.97
Pt 0.7500 0.2500 0.5000  4 Pt 2.81
Pt 0.2500 0.7500 0.5000  4 Pt 2.81
Ba 0.6226 0.6226 0.7549  4 Pt 3.17

***

Entry 8:
Entry from Alexandria: an optimized crystal structure of BeGaAs2Br (PBE-GGA).

## Properties
The calculation puts the total energy at -3.276 eV/atom. The density of states at the Fermi level comes out at 0.165 states/eV/atom. For the uncorrected formation energy, the calculation gives 0.269 eV/atom.

Unit cell a=4.2966 b=4.2966 c=7.4924 alpha=90.00 beta=90.00 gamma=90.00
With the nearest neighbours (Å) after each atom.
Element x y z (fractional)
Br 0.0000 0.0000 0.5000  4 Ga 3.04
Be 0.0000 0.0000 0.0000  4 As 2.15
As 0.0000 0.5000 0.0000  2 Be 2.15
Ga 0.5000 0.5000 0.5000  4 Br 3.04
As 0.5000 0.0000 0.0000  2 Be 2.15